First-principles (PBE) data for a relaxed MgSnTeW crystal, as listed in OQMD via LeMat-Bulk.

Lattice parameters (Å, degrees): 7.0211 7.0211 7.0211 90.00 90.00 90.00
Last column: nearest neighbours and their distance in Å.
Space group F-43m (No. 216)
Symmetry-distinct sites (fractional):
Mg: 0.0000 0.0000 0.0000 [4 per cell]  4 W 3.04, 4 Sn 3.04
Sn: 0.2500 0.2500 0.2500 [4 per cell]  4 Mg 3.04, 4 Te 3.04
Te: 0.0000 0.0000 0.5000 [4 per cell]  4 Sn 3.04, 4 W 3.04
W: 0.2500 0.2500 0.7500 [4 per cell]  4 Te 3.04, 4 Mg 3.04

Values from the calculation:
- volume (Å³/cell) = 346.1
- total energy (eV per cell) = -73.27
- theoretical density (Mg/m³) = 8.7
- polymorph energy (0 for the lowest one) (kJ/mol of formula units) = 131
- crystal system = cubic